1.
VASP calculation (PBE-GGA) on a relaxed structure of AgP.

## Properties
Crystal system: orthorhombic
Space group: Immm, No. 71
DFT total energy: -3.68 eV per atom

Cell: 2.9958 5.3454 4.3760 Å, 90.00 90.00 90.00°
With the nearest neighbours (Å) after each atom.
Element x y z (fractional)
P1 0.5000 0.0000 0.6665  6 Ag 2.65-2.67
P2 0.0000 0.5000 0.1668  6 Ag 2.65-2.67
Ag1 0.5000 0.5000 0.6668  6 P 2.65-2.67
Ag2 0.0000 0.0000 0.1666  6 P 2.65-2.67

---

2.
VASP calculation (PBE-GGA) on a relaxed structure of AgP.

## Properties
Crystal system: orthorhombic
Space group: Cmcm, No. 63
DFT total energy: -3.82 eV per atom

Cell: 4.5549 4.5549 4.3264 Å, 90.00 90.00 122.37°
With the nearest neighbours (Å) after each atom.
Element x y z (fractional)
Ag1 0.8743 0.1257 0.2500  3 P 2.50-2.65
Ag2 0.1257 0.8743 0.7500  3 P 2.50-2.65
P1 0.5612 0.4388 0.2500  2 P 2.37, 3 Ag 2.50-2.65
P2 0.4388 0.5612 0.7500  2 P 2.37, 3 Ag 2.50-2.65

---

3.
VASP calculation (PBE-GGA) on a relaxed structure of Ag3P4.

## Properties
Crystal system: hexagonal
Space group: P6/mmm, No. 191
DFT total energy: -3.67 eV per atom

Cell: 5.7255 5.7255 4.4373 Å, 90.00 90.00 120.00°
With the nearest neighbours (Å) after each atom.
Element x y z (fractional)
Ag1 0.5000 0.0000 0.0000  8 P 2.77-3.08, 4 Ag 2.86
Ag2 0.5000 0.5000 0.0000  8 P 2.77-3.08, 4 Ag 2.86
Ag3 0.0000 0.5000 0.0000  8 P 2.77-3.08, 4 Ag 2.86
P1 0.0000 0.0000 0.2556  2 P 2.17-2.27
P2 0.0000 0.0000 0.7444  2 P 2.17-2.27
P3 0.3333 0.6667 0.5000  6 Ag 2.77
P4 0.6667 0.3333 0.5000  6 Ag 2.77

---

4.
VASP calculation (PBE-GGA) on a relaxed structure of AgP.

## Properties
Crystal system: trigonal
Space group: P-3m1, No. 164
DFT total energy: -3.64 eV per atom

Cell: 2.8314 2.8314 9.7465 Å, 90.00 90.00 120.00°
With the nearest neighbours (Å) after each atom.
Element x y z (fractional)
Ag1 0.0000 0.0000 0.9981  3 P 2.77, 9 Ag 2.83-2.96
Ag2 0.6667 0.3333 0.2519  3 P 2.77, 9 Ag 2.83-2.96
P1 0.6667 0.3333 0.7689  3 Ag 2.77, 6 P 2.83
P2 0.0000 0.0000 0.4811  3 Ag 2.77, 6 P 2.83

---

5.
VASP calculation (PBE-GGA) on a relaxed structure of Ag4P3.

## Properties
Crystal system: tetragonal
Space group: I4/mmm, No. 139
DFT total energy: -3.62 eV per atom

Cell: 12.9025 12.9025 12.9025 Å, 166.24 166.24 19.50°
With the nearest neighbours (Å) after each atom.
Element x y z (fractional)
P1 0.2673 0.2673 0.0000  4 P 2.36
P2 0.7327 0.7327 0.0000  4 P 2.36
P3 0.0000 0.0000 0.0000  8 Ag 2.79, 4 P 3.09
Ag1 0.5685 0.5685 0.0000  4 P 2.79, 8 Ag 2.95-3.09
Ag2 0.8536 0.8536 0.0000  8 Ag 2.95-3.09, 5 P 3.08-3.10
Ag3 0.4315 0.4315 0.0000  4 P 2.79, 8 Ag 2.95-3.09
Ag4 0.1464 0.1464 0.0000  8 Ag 2.95-3.09, 5 P 3.08-3.10

---

6.
VASP calculation (PBE-GGA) on a relaxed structure of AgP.

## Properties
Crystal system: tetragonal
Space group: P4/nmm, No. 129
DFT total energy: -3.67 eV per atom

Cell: 2.7263 2.7263 9.2377 Å, 90.00 90.00 90.00°
With the nearest neighbours (Å) after each atom.
Element x y z (fractional)
P1 0.7500 0.7500 0.8537  4 P 2.73, 4 Ag 2.86
P2 0.2500 0.2500 0.1463  4 P 2.73, 4 Ag 2.86
Ag1 0.2500 0.2500 0.6251  8 Ag 2.73-3.01, 4 P 2.86
Ag2 0.7500 0.7500 0.3749  8 Ag 2.73-3.01, 4 P 2.86

---

7.
VASP calculation (PBE-GGA) on a relaxed structure of AgP.

## Properties
Crystal system: orthorhombic
Space group: Pmma, No. 51
DFT total energy: -3.75 eV per atom

Cell: 2.9027 5.5189 4.4117 Å, 90.00 90.00 90.00°
With the nearest neighbours (Å) after each atom.
Element x y z (fractional)
Ag1 0.0000 0.5000 0.1681  4 P 2.64, 4 Ag 2.76-2.90
Ag2 0.0000 0.0000 0.1652  4 P 2.64, 4 Ag 2.76-2.90
P1 0.5000 0.5000 0.6678  4 Ag 2.64, 4 P 2.76-2.90
P2 0.5000 0.0000 0.6655  4 Ag 2.64, 4 P 2.76-2.90

---

8.
VASP calculation (PBE-GGA) on a relaxed structure of AgP.

## Properties
Crystal system: trigonal
Space group: R-3m, No. 166
DFT total energy: -3.90 eV per atom

Cell: 6.3756 6.3756 6.3756 Å, 38.84 38.84 38.84°
With the nearest neighbours (Å) after each atom.
Element x y z (fractional)
Ag1 0.5810 0.5810 0.5810  3 P 2.49
Ag2 0.4190 0.4190 0.4190  3 P 2.49
P1 0.0589 0.0589 0.0589  1 P 2.08
P2 0.9411 0.9411 0.9411  1 P 2.08